Material: ErTlPb2
Method: DFT, PBE-GGA
State: optimized geometry

Unit cell a=5.0028 b=5.0028 c=6.6902 alpha=68.04 beta=68.04 gamma=60.00
Sites, in units of the cell vectors:
Pb1 0.0706 0.0706 0.7882
Pb2 0.2614 0.2614 0.2158
Er1 0.6735 0.6735 0.9796
Tl1 0.4945 0.4945 0.5164

Summary:
Its space group is R3m, No. 160. Its calculated formation energy is 0.00 eV per atom.